Entry 1:
A geometry-optimized HoCo4Mo structure. Source: Alexandria via LeMat-Bulk, functional PBE-GGA.

Cell lengths 4.8442, 4.8442, 4.8442 Å; angles 60.00, 60.00, 60.00 degrees
Last column: nearest neighbours and their distance in Å.
Positions (direct):
Ho: 0.0000 0.0000 0.0000  12 Co 2.84, 4 Mo 2.97
Co: 0.1238 0.6254 0.6254  6 Co 2.41-2.43
Co: 0.6254 0.1238 0.6254  6 Co 2.41-2.43
Co: 0.6254 0.6254 0.1238  6 Co 2.41-2.43
Co: 0.6254 0.6254 0.6254  6 Co 2.41-2.43
Mo: 0.2500 0.2500 0.2500  12 Co 2.84, 4 Ho 2.97

The energy of formation is 50 meV per atom. The calculation puts the total energy at -7.26 eV/atom. The density of states at the Fermi level is 9.19 states/eV/cell. For the total magnetic moment, the calculation gives 0.18 μB per atom. The symmetry is No. 216.

---

Entry 2:
A geometry-optimized Ho2CoMo structure. Source: Alexandria via LeMat-Bulk, functional PBE-GGA.

Cell lengths 9.7792, 9.7792, 9.7792 Å; angles 18.61, 18.61, 18.61 degrees
Last column: nearest neighbours and their distance in Å.
Positions (direct):
Ho: 0.0980 0.0980 0.0980  3 Co 2.69, 1 Mo 2.82
Ho: 0.9020 0.9020 0.9020  3 Co 2.69, 1 Mo 2.82
Co: 0.5000 0.5000 0.5000  6 Ho 2.69
Mo: 0.0000 0.0000 0.0000  2 Ho 2.82, 6 Mo 3.16

The energy of formation is 717 meV per atom. The calculation puts the total energy at -6.06 eV/atom. The density of states at the Fermi level is 4.72 states/eV/cell. For the total magnetic moment, the calculation gives 0.00 μB per atom. The symmetry is No. 166.

---

Entry 3:
A geometry-optimized Ho3Co5N12 structure. Source: Alexandria via LeMat-Bulk, functional PBE-GGA.

Cell lengths 10.4249, 10.4249, 10.4249 Å; angles 109.47, 109.47, 109.47 degrees
Last column: nearest neighbours and their distance in Å.
Positions (direct):
Ho: 0.1250 0.2500 0.3750  8 N 2.39-2.43
Ho: 0.1250 0.3750 0.7500  8 N 2.39-2.43
Ho: 0.2500 0.3750 0.1250  8 N 2.39-2.43
Ho: 0.2500 0.8750 0.6250  8 N 2.39-2.43
Ho: 0.3750 0.1250 0.2500  8 N 2.39-2.43
Ho: 0.3750 0.7500 0.1250  8 N 2.39-2.43
Ho: 0.6250 0.2500 0.8750  8 N 2.39-2.43
Ho: 0.6250 0.8750 0.7500  8 N 2.39-2.43
Ho: 0.7500 0.1250 0.3750  8 N 2.39-2.43
Ho: 0.7500 0.6250 0.8750  8 N 2.39-2.43
Ho: 0.8750 0.6250 0.2500  8 N 2.39-2.43
Ho: 0.8750 0.7500 0.6250  8 N 2.39-2.43
Co: 0.0000 0.0000 0.0000  6 N 1.94
Co: 0.0000 0.0000 0.5000  6 N 1.94
Co: 0.0000 0.5000 0.0000  6 N 1.94
Co: 0.0000 0.5000 0.5000  6 N 1.94
Co: 0.1250 0.7500 0.8750  4 N 1.74
Co: 0.1250 0.8750 0.2500  4 N 1.74
Co: 0.2500 0.1250 0.8750  4 N 1.74
Co: 0.2500 0.6250 0.3750  4 N 1.74
Co: 0.3750 0.2500 0.6250  4 N 1.74
Co: 0.3750 0.6250 0.7500  4 N 1.74
Co: 0.5000 0.0000 0.0000  6 N 1.94
Co: 0.5000 0.0000 0.5000  6 N 1.94
Co: 0.5000 0.5000 0.0000  6 N 1.94
Co: 0.5000 0.5000 0.5000  6 N 1.94
Co: 0.6250 0.3750 0.2500  4 N 1.74
Co: 0.6250 0.7500 0.3750  4 N 1.74
Co: 0.7500 0.3750 0.6250  4 N 1.74
Co: 0.7500 0.8750 0.1250  4 N 1.74
Co: 0.8750 0.1250 0.7500  4 N 1.74
Co: 0.8750 0.2500 0.1250  4 N 1.74
N: 0.0159 0.2005 0.1112  2 Co 1.74-1.94
N: 0.0159 0.3154 0.9046  2 Co 1.74-1.94
N: 0.0892 0.7005 0.6846  2 Co 1.74-1.94
N: 0.0892 0.8888 0.4046  2 Co 1.74-1.94
N: 0.0954 0.6112 0.4108  2 Co 1.74-1.94
N: 0.0954 0.9841 0.6846  2 Co 1.74-1.94
N: 0.1112 0.0159 0.2005  2 Co 1.74-1.94
N: 0.1112 0.5954 0.9108  2 Co 1.74-1.94
N: 0.1846 0.2005 0.5892  2 Co 1.74-1.94
N: 0.1846 0.4841 0.5954  2 Co 1.74-1.94
N: 0.2005 0.1112 0.0159  2 Co 1.74-1.94
N: 0.2005 0.5892 0.1846  2 Co 1.74-1.94
N: 0.2995 0.3154 0.9108  2 Co 1.74-1.94
N: 0.2995 0.4841 0.3888  2 Co 1.74-1.94
N: 0.3154 0.9046 0.0159  2 Co 1.74-1.94
N: 0.3154 0.9108 0.2995  2 Co 1.74-1.94
N: 0.3888 0.2995 0.4841  2 Co 1.74-1.94
N: 0.3888 0.5892 0.9046  2 Co 1.74-1.94
N: 0.4046 0.0892 0.8888  2 Co 1.74-1.94
N: 0.4046 0.8154 0.5159  2 Co 1.74-1.94
N: 0.4108 0.0954 0.6112  2 Co 1.74-1.94
N: 0.4108 0.8154 0.7995  2 Co 1.74-1.94
N: 0.4841 0.3888 0.2995  2 Co 1.74-1.94
N: 0.4841 0.5954 0.1846  2 Co 1.74-1.94
N: 0.5159 0.4046 0.8154  2 Co 1.74-1.94
N: 0.5159 0.6112 0.7005  2 Co 1.74-1.94
N: 0.5892 0.1846 0.2005  2 Co 1.74-1.94
N: 0.5892 0.9046 0.3888  2 Co 1.74-1.94
N: 0.5954 0.1846 0.4841  2 Co 1.74-1.94
N: 0.5954 0.9108 0.1112  2 Co 1.74-1.94
N: 0.6112 0.4108 0.0954  2 Co 1.74-1.94
N: 0.6112 0.7005 0.5159  2 Co 1.74-1.94
N: 0.6846 0.0892 0.7005  2 Co 1.74-1.94
N: 0.6846 0.0954 0.9841  2 Co 1.74-1.94
N: 0.7005 0.5159 0.6112  2 Co 1.74-1.94
N: 0.7005 0.6846 0.0892  2 Co 1.74-1.94
N: 0.7995 0.4108 0.8154  2 Co 1.74-1.94
N: 0.7995 0.8888 0.9841  2 Co 1.74-1.94
N: 0.8154 0.5159 0.4046  2 Co 1.74-1.94
N: 0.8154 0.7995 0.4108  2 Co 1.74-1.94
N: 0.8888 0.4046 0.0892  2 Co 1.74-1.94
N: 0.8888 0.9841 0.7995  2 Co 1.74-1.94
N: 0.9046 0.0159 0.3154  2 Co 1.74-1.94
N: 0.9046 0.3888 0.5892  2 Co 1.74-1.94
N: 0.9108 0.1112 0.5954  2 Co 1.74-1.94
N: 0.9108 0.2995 0.3154  2 Co 1.74-1.94
N: 0.9841 0.6846 0.0954  2 Co 1.74-1.94
N: 0.9841 0.7995 0.8888  2 Co 1.74-1.94

Its raw formation energy is 4 kJ per mole of atoms. The calculation puts the total energy at -7.42 eV/atom. The density of states at the Fermi level is 45.57 states/eV/cell. For the total magnetic moment, the calculation gives 0.00 μB per atom. The symmetry is No. 230.

---

Entry 4:
A geometry-optimized HoCoN structure. Source: Alexandria via LeMat-Bulk, functional PBE-GGA.

Cell lengths 9.8712, 3.1131, 3.1131 Å; angles 60.05, 90.00, 90.00 degrees
Last column: nearest neighbours and their distance in Å.
Positions (direct):
Ho: 0.1540 0.0000 0.0000  3 N 2.35
Ho: 0.8460 0.0000 0.0000  3 N 2.35
Co: 0.3867 0.6654 0.6654  3 N 2.11-2.12, 1 Co 2.24
Co: 0.6133 0.6654 0.6654  3 N 2.11-2.12, 1 Co 2.24
N: 0.0000 0.6666 0.6666  6 Ho 2.35
N: 0.5000 0.9981 0.9981  6 Co 2.11-2.12

Its raw formation energy is -1 kJ per mole of atoms. The calculation puts the total energy at -6.68 eV/atom. The density of states at the Fermi level is 3.57 states/eV/cell. For the total magnetic moment, the calculation gives 0.01 μB per atom. The symmetry is No. 38.